No. 1
The following is a GGA-PBE calculation of a relaxed structure of Th2ZnNi12H3, from the Alexandria database.

Cell lengths 6.9808, 6.9808, 6.9808 Å; angles 55.79, 55.79, 55.79 degrees
Positions (direct):
Th: 0.6021 0.6021 0.6021
Th: 0.3979 0.3979 0.3979
Zn: 0.0000 0.0000 0.0000
Ni: 0.2767 0.2767 0.9004
Ni: 0.8608 0.8608 0.4612
Ni: 0.4612 0.8608 0.8608
Ni: 0.9004 0.2767 0.2767
Ni: 0.8608 0.4612 0.8608
Ni: 0.2767 0.9004 0.2767
Ni: 0.7233 0.7233 0.0996
Ni: 0.1392 0.1392 0.5388
Ni: 0.5388 0.1392 0.1392
Ni: 0.0996 0.7233 0.7233
Ni: 0.1392 0.5388 0.1392
Ni: 0.7233 0.0996 0.7233
H: 0.5000 0.0000 0.0000
H: 0.0000 0.5000 0.0000
H: 0.0000 0.0000 0.5000

Results
density of states at the Fermi level: 6.299 states/eV/cell
symmetry: R-3m, No. 166
calculated total energy: -5.45 eV/atom

=====

No. 2
The following is a GGA-PBE calculation of a relaxed structure of MgRu2Br, from the Alexandria database.

Cell lengths 5.4193, 5.4193, 4.4247 Å; angles 87.30, 87.30, 31.82 degrees
Positions (direct):
Br: 0.2500 0.2500 0.2500
Mg: 0.7500 0.7500 0.7500
Ru: 0.0327 0.0327 0.9736
Ru: 0.4673 0.4673 0.5264

Results
formation energy (no corrections): 0.461 eV per atom
density of states at the Fermi level: 4.374 states/eV/cell
symmetry: C2/m, No. 12
offset from the most stable computed form: 1.385 eV/f.u.
calculated total energy: -4.99 eV/atom

=====

No. 3
The following is a GGA-PBE calculation of a relaxed structure of YTaMo2, from the Alexandria database.

Cell lengths 5.6207, 5.6207, 5.6207 Å; angles 146.05, 129.01, 62.68 degrees
Positions (direct):
Mo: 0.0227 0.0227 0.0000
Mo: 0.2355 0.7355 0.5000
Ta: 0.4850 0.4850 0.0000
Y: 0.7568 0.2568 0.5000

Results
ΔE_f: 0.266 eV/atom
density of states at the Fermi level: 4.506 states/eV/cell
symmetry: Imm2, No. 44
offset from the most stable computed form: 0.257 eV/f.u.
calculated total energy: -9.73 eV/atom

=====

No. 4
The following is a GGA-PBE calculation of a relaxed structure of TlPCl3, from the Alexandria database.

Cell lengths 5.1876, 13.1203, 6.1643 Å; angles 93.21, 90.77, 61.21 degrees
Positions (direct):
Tl: 0.6068 0.0234 0.9722
Tl: 0.3534 0.8223 0.4521
P: 0.6950 0.4257 0.7310
P: 0.2583 0.4204 0.6886
Cl: 0.6846 0.9608 0.4645
Cl: 0.4507 0.2539 0.5461
Cl: 0.5023 0.5921 0.8739
Cl: 0.2754 0.8850 0.9599
Cl: 0.8263 0.3229 0.9961
Cl: 0.1273 0.5231 0.4234

Results
formation energy (no corrections): -0.730 eV per atom
density of states at the Fermi level: 0.000 states/eV/cell
symmetry: P1, No. 1
offset from the most stable computed form: 0.000 eV/f.u.
calculated total energy: -3.39 eV/atom

=====

No. 5
The following is a GGA-PBE calculation of a relaxed structure of Tb2CdIn4, from the Alexandria database.

Cell lengths 4.5143, 6.4861, 6.4861 Å; angles 86.76, 90.00, 90.00 degrees
Positions (direct):
In: 0.0000 0.7475 0.7475
In: 0.0000 0.2525 0.2525
In: 0.5000 0.0000 0.5000
In: 0.5000 0.5000 0.0000
Tb: 0.0000 0.7635 0.2365
Tb: 0.0000 0.2365 0.7635
Cd: 0.5000 0.5000 0.5000

Results
ΔE_f: -0.285 eV/atom
density of states at the Fermi level: 4.358 states/eV/cell
symmetry: Cmmm, No. 65
calculated total energy: -3.30 eV/atom

=====

No. 6
The following is a GGA-PBE calculation of a relaxed structure of SmAlBOs2, from the Alexandria database.

Cell lengths 4.1550, 5.8111, 7.4087 Å; angles 90.00, 90.00, 110.95 degrees
Positions (direct):
Sm: 0.4539 0.9078 0.7500
Sm: 0.5461 0.0922 0.2500
Al: 0.7346 0.4692 0.7500
Al: 0.2654 0.5308 0.2500
B: 0.0000 0.0000 0.0000
B: 0.0000 0.0000 0.5000
Os: 0.1789 0.3578 0.9365
Os: 0.8211 0.6422 0.0635
Os: 0.1789 0.3578 0.5635
Os: 0.8211 0.6422 0.4365

Results
ΔE_f: -0.383 eV/atom
density of states at the Fermi level: 4.498 states/eV/cell
symmetry: Cmcm, No. 63
calculated total energy: -7.90 eV/atom

=====

No. 7
The following is a GGA-PBE calculation of a relaxed structure of Li3Ca3Ge8, from the Alexandria database.

Cell lengths 4.0575, 8.8297, 8.8297 Å; angles 71.62, 76.72, 76.72 degrees
Positions (direct):
Li: 0.5000 0.0000 0.0000
Li: 0.0000 0.7964 0.2036
Li: 0.0000 0.2036 0.7964
Ca: 0.5000 0.5000 0.5000
Ca: 0.7900 0.2100 0.2100
Ca: 0.2100 0.7900 0.7900
Ge: 0.6323 0.0675 0.6679
Ge: 0.3677 0.9325 0.3321
Ge: 0.6323 0.6679 0.0675
Ge: 0.3677 0.3321 0.9325
Ge: 0.8429 0.8028 0.5114
Ge: 0.1571 0.1972 0.4886
Ge: 0.8429 0.5114 0.8028
Ge: 0.1571 0.4886 0.1972

Results
ΔE_f: -0.330 eV/atom
density of states at the Fermi level: 5.255 states/eV/cell
symmetry: Immm, No. 71
calculated total energy: -3.81 eV/atom

=====

No. 8
The following is a GGA-PBE calculation of a relaxed structure of Mg15Zn, from the Alexandria database.

Cell lengths 6.3028, 6.3028, 10.3915 Å; angles 90.00, 90.00, 120.00 degrees
Positions (direct):
Mg: 0.0000 0.0000 0.5000
Mg: 0.4985 0.9970 0.0000
Mg: 0.5011 0.0021 0.5000
Mg: 0.4985 0.5015 0.0000
Mg: 0.5011 0.4989 0.5000
Mg: 0.0030 0.5015 0.0000
Mg: 0.9979 0.4989 0.5000
Mg: 0.3301 0.1650 0.2449
Mg: 0.3301 0.1650 0.7551
Mg: 0.8350 0.1650 0.2449
Mg: 0.8350 0.1650 0.7551
Mg: 0.8350 0.6699 0.2449
Mg: 0.8350 0.6699 0.7551
Mg: 0.3333 0.6667 0.2525
Mg: 0.3333 0.6667 0.7475
Zn: 0.0000 0.0000 0.0000

Results
ΔE_f: -0.001 eV/atom
density of states at the Fermi level: 7.360 states/eV/cell
symmetry: P-6m2, No. 187
calculated total energy: -1.58 eV/atom